Material: KNiCl6
Method: DFT, PBE-GGA
State: optimized geometry

DFT total energy	-2.74	eV/atom
volume	27.1	Å³/atom
space-group type	P1
ρ	2.4	g cm⁻³
spin magnetization	1.01	μB/f.u.

Lattice parameters (Å, degrees): 4.728 7.302 7.353 64.32 71.53 79.65
Fractional positions:
K (0.000, 0.000, 0.000)
Ni (0.502, 0.499, 0.500)
Cl (0.001, 0.499, 0.000)
Cl (0.180, 0.288, 0.515)
Cl (0.441, 0.338, 0.851)
Cl (0.503, 0.998, 0.499)
Cl (0.562, 0.660, 0.148)
Cl (0.826, 0.709, 0.484)



Material: PmTlIn
Method: DFT, PBE-GGA
State: optimized geometry

DFT total energy	-3.45	eV/atom
volume	30.8	Å³/atom
space-group type	F-43m
ρ	8.4	g cm⁻³
energy relative to the lowest polymorph listed for this composition	0	meV per atom
spin magnetization	0.00	μB/f.u.

Lattice parameters (Å, degrees): 5.073 5.073 5.073 60.00 60.00 60.00
Fractional positions:
Pm (0.000, 0.000, 0.000)
Tl (0.750, 0.750, 0.750)
In (0.500, 0.500, 0.500)



Material: YHf2B
Method: DFT, PBE-GGA
State: optimized geometry

DFT total energy	-7.56	eV/atom
volume	19.3	Å³/atom
space-group type	F-43m
ρ	9.8	g cm⁻³
spin magnetization	0.02	μB/f.u.

Lattice parameters (Å, degrees): 4.777 4.777 4.777 60.00 60.00 60.00
Fractional positions:
Y (0.000, 0.000, 0.000)
Hf (0.250, 0.250, 0.250)
Hf (0.500, 0.500, 0.500)
B (0.750, 0.750, 0.750)



Material: Sc4Nb2Si3N3
Method: DFT, PBE-GGA
State: optimized geometry

DFT total energy	-8.35	eV/atom
volume	14.5	Å³/atom
space-group type	C2/c
ρ	4.7	g cm⁻³
spin magnetization	0.00	μB/f.u.

Lattice parameters (Å, degrees): 5.488 5.488 13.660 101.49 101.49 60.17
Fractional positions:
Sc (0.034, 0.197, 0.097)
Sc (0.132, 0.301, 0.403)
Sc (0.197, 0.034, 0.597)
Sc (0.301, 0.132, 0.903)
Sc (0.699, 0.868, 0.097)
Sc (0.803, 0.966, 0.403)
Sc (0.868, 0.699, 0.597)
Sc (0.966, 0.803, 0.903)
Nb (0.361, 0.528, 0.085)
Nb (0.472, 0.639, 0.415)
Nb (0.528, 0.361, 0.585)
Nb (0.639, 0.472, 0.915)
Si (0.139, 0.861, 0.250)
Si (0.303, 0.419, 0.750)
Si (0.419, 0.303, 0.250)
Si (0.581, 0.697, 0.750)
Si (0.697, 0.581, 0.250)
Si (0.861, 0.139, 0.750)
N (0.000, 0.500, 0.000)
N (0.157, 0.672, 0.500)
N (0.328, 0.843, 0.000)
N (0.500, 0.000, 0.500)
N (0.672, 0.157, 0.000)
N (0.843, 0.328, 0.500)



Material: MgNi
Method: DFT, PBE-GGA
State: optimized geometry

DFT total energy	-3.59	eV/atom
volume	14.5	Å³/atom
space-group type	Pmmn
ρ	4.8	g cm⁻³
spin magnetization	0.01	μB/f.u.

Lattice parameters (Å, degrees): 4.392 5.630 9.382 90.00 90.00 90.00
Fractional positions:
Mg (0.250, 0.003, 0.095)
Mg (0.250, 0.250, 0.364)
Mg (0.250, 0.250, 0.790)
Mg (0.250, 0.497, 0.095)
Mg (0.750, 0.503, 0.905)
Mg (0.750, 0.750, 0.210)
Mg (0.750, 0.750, 0.636)
Mg (0.750, 0.997, 0.905)
Ni (0.250, 0.518, 0.583)
Ni (0.250, 0.750, 0.364)
Ni (0.250, 0.750, 0.824)
Ni (0.250, 0.982, 0.583)
Ni (0.750, 0.018, 0.417)
Ni (0.750, 0.250, 0.176)
Ni (0.750, 0.250, 0.636)
Ni (0.750, 0.482, 0.417)



Material: RbCu3IrS4
Method: DFT, PBE-GGA
State: optimized geometry

DFT total energy	-4.25	eV/atom
volume	23.4	Å³/atom
space-group type	P-43m
ρ	4.7	g cm⁻³
spin magnetization	0.55	μB/f.u.

Lattice parameters (Å, degrees): 5.950 5.950 5.950 90.00 90.00 90.00
Fractional positions:
Rb (0.000, 0.000, 0.000)
Cu (0.000, 0.500, 0.500)
Cu (0.500, 0.000, 0.500)
Cu (0.500, 0.500, 0.000)
Ir (0.500, 0.500, 0.500)
S (0.282, 0.282, 0.282)
S (0.282, 0.718, 0.718)
S (0.718, 0.282, 0.718)
S (0.718, 0.718, 0.282)



Material: Cu2Se3F
Method: DFT, PBE-GGA
State: optimized geometry

DFT total energy	-3.52	eV/atom
volume	17.7	Å³/atom
space-group type	Pm
ρ	6.0	g cm⁻³
energy relative to the lowest polymorph listed for this composition	88	meV per atom

Lattice parameters (Å, degrees): 5.422 3.592 5.463 90.00 94.54 90.00
Fractional positions:
Cu (0.000, 0.000, 0.000)
Cu (0.439, 0.500, 0.439)
Se (0.266, 0.000, 0.665)
Se (0.661, 0.000, 0.263)
Se (0.773, 0.500, 0.769)
F (0.153, 0.500, 0.156)



Material: YInCoOs
Method: DFT, PBE-GGA
State: optimized geometry

DFT total energy	-6.76	eV/atom
volume	17.8	Å³/atom
space-group type	F-43m
ρ	10.5	g cm⁻³
energy relative to the lowest polymorph listed for this composition	0	meV per atom
spin magnetization	0.22	μB/f.u.

Lattice parameters (Å, degrees): 4.656 4.656 4.656 60.00 60.00 60.00
Fractional positions:
Y (0.000, 0.000, 0.000)
In (0.500, 0.500, 0.500)
Co (0.750, 0.750, 0.750)
Os (0.250, 0.250, 0.250)



Material: TlNi3
Method: DFT, PBE-GGA
State: optimized geometry

DFT total energy	-4.55	eV/atom
volume	13.5	Å³/atom
space-group type	Fm-3m
ρ	11.7	g cm⁻³
spin magnetization	0.00	μB/f.u.

Lattice parameters (Å, degrees): 4.241 4.241 4.241 60.00 60.00 60.00
Fractional positions:
Tl (0.000, 0.000, 0.000)
Ni (0.250, 0.250, 0.250)
Ni (0.500, 0.500, 0.500)
Ni (0.750, 0.750, 0.750)



Material: HoSeF
Method: DFT, PBE-GGA
State: optimized geometry

DFT total energy	-6.18	eV/atom
volume	20.9	Å³/atom
space-group type	Pnma
ρ	7.0	g cm⁻³
spin magnetization	0.00	μB/f.u.

Lattice parameters (Å, degrees): 9.882 4.065 18.751 90.00 90.00 90.00
Fractional positions:
Ho (0.079, 0.250, 0.081)
Ho (0.092, 0.250, 0.417)
Ho (0.245, 0.750, 0.241)
Ho (0.255, 0.250, 0.741)
Ho (0.408, 0.750, 0.917)
Ho (0.421, 0.750, 0.581)
Ho (0.579, 0.250, 0.419)
Ho (0.592, 0.250, 0.083)
Ho (0.745, 0.750, 0.259)
Ho (0.755, 0.250, 0.759)
Ho (0.908, 0.750, 0.583)
Ho (0.921, 0.750, 0.919)
Se (0.005, 0.750, 0.322)
Se (0.163, 0.750, 0.841)
Se (0.165, 0.750, 0.514)
Se (0.335, 0.250, 0.014)
Se (0.337, 0.250, 0.341)
Se (0.495, 0.250, 0.822)
Se (0.505, 0.750, 0.178)
Se (0.663, 0.750, 0.659)
Se (0.665, 0.750, 0.986)
Se (0.835, 0.250, 0.486)
Se (0.837, 0.250, 0.159)
Se (0.995, 0.250, 0.678)
F (0.025, 0.750, 0.027)
F (0.138, 0.750, 0.136)
F (0.199, 0.250, 0.195)
F (0.301, 0.750, 0.695)
F (0.362, 0.250, 0.636)
F (0.475, 0.250, 0.527)
F (0.525, 0.750, 0.473)
F (0.638, 0.750, 0.364)
F (0.699, 0.250, 0.305)
F (0.801, 0.750, 0.805)
F (0.862, 0.250, 0.864)
F (0.975, 0.250, 0.973)



Material: Pm3InHg5
Method: DFT, PBE-GGA
State: optimized geometry

DFT total energy	-2.51	eV/atom
volume	26.0	Å³/atom
space-group type	P6_3/mcm
ρ	11.0	g cm⁻³
spin magnetization	0.00	μB/f.u.

Lattice parameters (Å, degrees): 9.116 9.116 6.495 90.00 90.00 120.00
Fractional positions:
Pm (0.000, 0.338, 0.250)
Pm (0.000, 0.662, 0.750)
Pm (0.338, 0.000, 0.250)
Pm (0.338, 0.338, 0.750)
Pm (0.662, 0.000, 0.750)
Pm (0.662, 0.662, 0.250)
In (0.000, 0.000, 0.000)
In (0.000, 0.000, 0.500)
Hg (0.000, 0.329, 0.750)
Hg (0.000, 0.671, 0.250)
Hg (0.329, 0.000, 0.750)
Hg (0.329, 0.329, 0.250)
Hg (0.333, 0.667, 0.000)
Hg (0.333, 0.667, 0.500)
Hg (0.667, 0.333, 0.000)
Hg (0.667, 0.333, 0.500)
Hg (0.671, 0.000, 0.250)
Hg (0.671, 0.671, 0.750)



Material: Ba5Pd3
Method: DFT, PBE-GGA
State: optimized geometry

DFT total energy	-3.55	eV/atom
volume	36.0	Å³/atom
space-group type	P6_3/mcm
ρ	5.8	g cm⁻³

Lattice parameters (Å, degrees): 9.435 9.435 7.465 90.00 90.00 120.00
Fractional positions:
Ba (0.000, 0.261, 0.250)
Ba (0.000, 0.739, 0.750)
Ba (0.261, 0.000, 0.250)
Ba (0.261, 0.261, 0.750)
Ba (0.333, 0.667, 0.000)
Ba (0.333, 0.667, 0.500)
Ba (0.667, 0.333, 0.000)
Ba (0.667, 0.333, 0.500)
Ba (0.739, 0.000, 0.750)
Ba (0.739, 0.739, 0.250)
Pd (0.000, 0.390, 0.750)
Pd (0.000, 0.610, 0.250)
Pd (0.390, 0.000, 0.750)
Pd (0.390, 0.390, 0.250)
Pd (0.610, 0.000, 0.250)
Pd (0.610, 0.610, 0.750)



Material: Zr2Co2Si
Method: DFT, PBE-GGA
State: optimized geometry

DFT total energy	-7.39	eV/atom
volume	16.1	Å³/atom
space-group type	I4/mmm
ρ	6.8	g cm⁻³
spin magnetization	1.30	μB/f.u.

Lattice parameters (Å, degrees): 7.575 7.575 7.575 154.50 154.50 36.37
Fractional positions:
Zr (0.113, 0.113, 0.000)
Zr (0.887, 0.887, 0.000)
Co (0.250, 0.750, 0.500)
Co (0.750, 0.250, 0.500)
Si (0.500, 0.500, 0.000)



Material: ZrZnNO
Method: DFT, PBE-GGA
State: optimized geometry

DFT total energy	-7.15	eV/atom
volume	12.9	Å³/atom
space-group type	Pca2_1
ρ	6.0	g cm⁻³
energy relative to the lowest polymorph listed for this composition	0	meV per atom
spin magnetization	0.00	μB/f.u.

Lattice parameters (Å, degrees): 6.024 7.418 4.617 90.00 90.00 90.00
Fractional positions:
Zr (0.076, 0.128, 0.000)
Zr (0.424, 0.128, 0.500)
Zr (0.576, 0.872, 0.000)
Zr (0.924, 0.872, 0.500)
Zn (0.084, 0.620, 0.983)
Zn (0.416, 0.620, 0.483)
Zn (0.584, 0.380, 0.983)
Zn (0.916, 0.380, 0.483)
N (0.070, 0.140, 0.503)
N (0.430, 0.140, 0.003)
N (0.570, 0.860, 0.503)
N (0.930, 0.860, 0.003)
O (0.084, 0.612, 0.514)
O (0.416, 0.612, 0.014)
O (0.584, 0.388, 0.514)
O (0.916, 0.388, 0.014)



Material: Nd3As2N
Method: DFT, PBE-GGA
State: optimized geometry

DFT total energy	-6.64	eV/atom
volume	23.6	Å³/atom
space-group type	P-3m1
ρ	7.0	g cm⁻³
spin magnetization	0.01	μB/f.u.

Lattice parameters (Å, degrees): 4.012 4.012 10.159 90.00 90.00 120.00
Fractional positions:
Nd (0.000, 0.000, 0.000)
Nd (0.333, 0.667, 0.363)
Nd (0.667, 0.333, 0.637)
As (0.333, 0.667, 0.820)
As (0.667, 0.333, 0.180)
N (0.000, 0.000, 0.500)



Material: Er3Al3Cu2Au
Method: DFT, PBE-GGA
State: optimized geometry

DFT total energy	-4.51	eV/atom
volume	19.4	Å³/atom
space-group type	P-62m
ρ	8.6	g cm⁻³
spin magnetization	0.01	μB/f.u.

Lattice parameters (Å, degrees): 7.053 7.053 4.052 90.00 90.00 120.00
Fractional positions:
Er (0.000, 0.421, 0.000)
Er (0.421, 0.000, 0.000)
Er (0.579, 0.579, 0.000)
Al (0.000, 0.753, 0.500)
Al (0.247, 0.247, 0.500)
Al (0.753, 0.000, 0.500)
Cu (0.333, 0.667, 0.500)
Cu (0.667, 0.333, 0.500)
Au (0.000, 0.000, 0.000)



Material: GdDyNO
Method: DFT, PBE-GGA
State: optimized geometry

DFT total energy	-7.34	eV/atom
volume	17.9	Å³/atom
space-group type	P4/nmm
ρ	8.1	g cm⁻³
energy relative to the lowest polymorph listed for this composition	509	meV per atom
spin magnetization	0.71	μB/f.u.

Lattice parameters (Å, degrees): 4.265 4.265 7.861 90.00 90.00 90.00
Fractional positions:
Gd (0.250, 0.750, 0.000)
Gd (0.750, 0.250, 0.000)
Dy (0.250, 0.250, 0.397)
Dy (0.750, 0.750, 0.603)
N (0.250, 0.250, 0.868)
N (0.750, 0.750, 0.132)
O (0.250, 0.750, 0.500)
O (0.750, 0.250, 0.500)



Material: KTcO3
Method: DFT, PBE-GGA
State: optimized geometry

DFT total energy	-6.87	eV/atom
volume	16.7	Å³/atom
space-group type	P-1
ρ	3.7	g cm⁻³
spin magnetization	0.00	μB/f.u.

Lattice parameters (Å, degrees): 5.063 5.819 6.370 114.68 99.01 92.24
Fractional positions:
K (0.243, 0.317, 0.173)
K (0.757, 0.683, 0.827)
Tc (0.228, 0.969, 0.559)
Tc (0.772, 0.031, 0.441)
O (0.009, 0.760, 0.271)
O (0.258, 0.871, 0.789)
O (0.463, 0.235, 0.571)
O (0.537, 0.765, 0.429)
O (0.742, 0.129, 0.211)
O (0.991, 0.240, 0.729)



Material: LuMgHgAu
Method: DFT, PBE-GGA
State: optimized geometry

DFT total energy	-2.78	eV/atom
volume	20.4	Å³/atom
space-group type	F-43m
ρ	12.1	g cm⁻³
energy relative to the lowest polymorph listed for this composition	229	meV per atom
spin magnetization	0.00	μB/f.u.

Lattice parameters (Å, degrees): 4.871 4.871 4.871 60.00 60.00 60.00
Fractional positions:
Lu (0.000, 0.000, 0.000)
Mg (0.250, 0.250, 0.250)
Hg (0.500, 0.500, 0.500)
Au (0.750, 0.750, 0.750)



Material: BeCo2Si
Method: DFT, PBE-GGA
State: optimized geometry

DFT total energy	-6.05	eV/atom
volume	10.8	Å³/atom
space-group type	P6_3/mmc
ρ	5.9	g cm⁻³
energy relative to the lowest polymorph listed for this composition	390	meV per atom
spin magnetization	1.27	μB/f.u.

Lattice parameters (Å, degrees): 3.809 3.809 6.900 90.00 90.00 120.00
Fractional positions:
Be (0.333, 0.667, 0.250)
Be (0.667, 0.333, 0.750)
Co (0.333, 0.667, 0.585)
Co (0.333, 0.667, 0.915)
Co (0.667, 0.333, 0.085)
Co (0.667, 0.333, 0.415)
Si (0.000, 0.000, 0.000)
Si (0.000, 0.000, 0.500)



Material: UBPd
Method: DFT, PBE-GGA
State: optimized geometry

DFT total energy	-7.64	eV/atom
volume	16.9	Å³/atom
space-group type	F-43m
ρ	11.6	g cm⁻³
energy relative to the lowest polymorph listed for this composition	0	meV per atom
spin magnetization	1.00	μB/f.u.

Lattice parameters (Å, degrees): 4.155 4.155 4.155 60.00 60.00 60.00
Fractional positions:
U (0.000, 0.000, 0.000)
B (0.750, 0.750, 0.750)
Pd (0.500, 0.500, 0.500)



Material: Sr2AlOsSe6
Method: DFT, PBE-GGA
State: optimized geometry

DFT total energy	-4.74	eV/atom
volume	24.0	Å³/atom
space-group type	P-1
ρ	6.0	g cm⁻³
energy relative to the lowest polymorph listed for this composition	0	meV per atom
spin magnetization	0.72	μB/f.u.

Lattice parameters (Å, degrees): 6.619 6.657 6.707 67.02 66.85 66.94
Fractional positions:
Sr (0.249, 0.253, 0.249)
Sr (0.751, 0.747, 0.751)
Al (0.000, 0.000, 0.000)
Os (0.500, 0.500, 0.500)
Se (0.162, 0.737, 0.339)
Se (0.263, 0.659, 0.836)
Se (0.341, 0.163, 0.732)
Se (0.659, 0.837, 0.268)
Se (0.737, 0.341, 0.164)
Se (0.838, 0.263, 0.661)